The following is a DFT calculation (GGA+U) of crystalline ReW3F at its relaxed geometry.

It has space group Pm-3m (No. 221), with a = 5.038 Å, b = 5.038 Å, c = 5.038 Å, α = 90.00°, β = 90.00° and γ = 90.00°. The distinct sites, in fractional coordinates, are Re at (0.000, 0.000, 0.000), W at (0.000, 0.000, 0.500) and F at (0.500, 0.500, 0.500).

Its uncorrected energy is -25.5 eV for the cell shown. As for the spin magnetization: 6.16 μB per formula unit.